Version 1
Compound: TbHo2Zr
Source: the Alexandria database
Functional: GGA-PBE
Structure: optimized geometry

Total magnetization   0.00 μB/f.u.
Theoretical density   8420 kg/m3

Cell: 4.8494 4.8494 4.8639 Å, 90.00 90.00 90.00°
Element x y z (fractional)
Tb (0.0000, 0.0000, 0.0000)
Ho (0.0000, 0.5000, 0.5000)
Ho (0.5000, 0.0000, 0.5000)
Zr (0.5000, 0.5000, 0.0000)

Version 2
Compound: TbHo2Zr
Source: the Alexandria database
Functional: GGA-PBE
Structure: optimized geometry

Total magnetization   2.60 μB/f.u.
Theoretical density   8240 kg/m3

Cell: 5.4881 5.4881 5.4881 Å, 60.00 60.00 60.00°
Element x y z (fractional)
Tb (0.0000, 0.0000, 0.0000)
Ho (0.2500, 0.2500, 0.2500)
Ho (0.7500, 0.7500, 0.7500)
Zr (0.5000, 0.5000, 0.5000)

Version 3
Compound: TbHo2Zr
Source: the Alexandria database
Functional: GGA-PBE
Structure: optimized geometry

Total magnetization   0.00 μB/f.u.
Theoretical density   8345 kg/m3

Cell: 11.3324 11.3324 11.3324 Å, 17.54 17.54 17.54°
Element x y z (fractional)
Tb (0.0000, 0.0000, 0.0000)
Ho (0.5783, 0.5783, 0.5783)
Ho (0.7545, 0.7545, 0.7545)
Zr (0.1663, 0.1663, 0.1663)

Version 4
Compound: TbHo2Zr
Source: the Alexandria database
Functional: GGA-PBE
Structure: optimized geometry

Total magnetization   0.00 μB/f.u.
Theoretical density   8369 kg/m3

Cell: 3.4176 6.8309 9.8587 Å, 90.00 90.00 90.00°
Element x y z (fractional)
Tb (0.0000, 0.2488, 0.0000)
Tb (0.0000, 0.7512, 0.0000)
Ho (0.5000, 0.0000, 0.2693)
Ho (0.5000, 0.0000, 0.7307)
Ho (0.5000, 0.5000, 0.2673)
Ho (0.5000, 0.5000, 0.7327)
Zr (0.0000, 0.2542, 0.5000)
Zr (0.0000, 0.7458, 0.5000)

Of them, version 2 has the lowest stability.